TlTc2Os | PBE-GGA | relaxed

DFT formation energy = 4.05 eV per formula unit
DFT total energy = -7.569 eV/atom
Magnetic moment = 0.00 μB per cell
Polymorph energy (0 for the lowest one) = 551 meV/atom
SG = I-42d (122)

a = 5.913 Å, b = 5.913 Å, c = 5.913 Å
α = 102.10°, β = 102.10°, γ = 125.51°
Positions (direct):
Tl1 0.000 0.000 0.000
Tl2 0.750 0.250 0.500
Tc1 0.181 0.125 0.556
Tc2 0.375 0.819 0.944
Tc3 0.569 0.625 0.444
Tc4 0.875 0.431 0.056
Os1 0.250 0.750 0.500
Os2 0.500 0.500 0.000